VASP calculation (PBEsol) on crystalline CrIn2Cl at its relaxed geometry.

Its energy above the most stable polymorph in this dataset is 0 meV per atom. For the uncorrected formation energy, the calculation gives 0.102 eV/atom.

It has space group R-3m (No. 166, hexagonal axes), with a = 3.3374 Å, b = 3.3374 Å, c = 25.3636 Å, α = 90.00°, β = 90.00° and γ = 120.00°. The distinct sites, in fractional coordinates, are Cr at (0.0000, 0.0000, 0.0000), In at (0.0000, 0.0000, 0.2551) and Cl at (0.0000, 0.0000, 0.5000).